(1)
An optimized crystal structure of CsLiScTe3. Source: Alexandria via LeMat-Bulk, functional PBE.

abc: 10.1298 4.2566 11.0379
angles: 90.00 116.65 90.00
With the nearest neighbours (Å) after each atom.
Space group P2_1/m (No. 11)
Inequivalent atoms, fractional coordinates:
Cs 0.2218 0.2500 0.2596  7 Te 3.87-3.96, 2 Cs 4.26
Li 0.0787 0.2500 0.6060  4 Te 2.73-2.83, 2 Li 3.03
Sc 0.3283 0.7500 0.8528  6 Te 2.90-2.97
Te 0.1415 0.2500 0.8740  1 Li 2.73, 2 Sc 2.93
Te 0.2293 0.7500 0.5625  3 Li 2.78-2.83, 1 Sc 2.90
Te 0.4696 0.7500 0.1508  3 Sc 2.94-2.97

Calculated values
- total energy (eV/atom) = -4.117
- ρ (Mg/m³) = 4.4

***

(2)
An optimized crystal structure of CsLi3Se2. Source: Alexandria via LeMat-Bulk, functional PBE.

abc: 17.0262 4.4217 8.7887
angles: 90.00 113.20 90.00
With the nearest neighbours (Å) after each atom.
Space group C2/m (No. 12)
Inequivalent atoms, fractional coordinates:
Cs 0.1330 0.0000 0.0426  6 Li 3.73-4.11, 7 Se 3.74-3.93
Li 0.0630 0.0000 0.3951  3 Se 2.43-2.49
Li 0.0943 0.5000 0.6255  3 Se 2.53-2.73, 1 Li 2.57
Li 0.1897 0.5000 0.4600  4 Se 2.56-2.78, 1 Li 2.57
Se 0.0256 0.5000 0.2735  4 Li 2.43-2.62
Se 0.1938 0.0000 0.6555  4 Li 2.49-2.73

Calculated values
- total energy (eV/atom) = -3.465
- ρ (Mg/m³) = 3.4

***

(3)
An optimized crystal structure of CsLi2Se. Source: Alexandria via LeMat-Bulk, functional PBE.

abc: 4.3671 4.3671 23.4239
angles: 90.00 90.00 120.00
With the nearest neighbours (Å) after each atom.
Space group R-3m (No. 166, hexagonal axes)
Inequivalent atoms, fractional coordinates:
Cs 0.0000 0.0000 0.0000  6 Li 4.09, 6 Cs 4.37
Li 0.0000 0.0000 0.1960  3 Se 2.61, 3 Li 2.87
Se 0.0000 0.0000 0.5000  6 Li 2.61

Calculated values
- total energy (eV/atom) = -2.761
- ρ (Mg/m³) = 2.9